The following is a DFT calculation (GGA-PBE) of a relaxed structure of Rb3Ag2HgCl6.

Calculated values
- space group = No. 164
- E_tot (eV per cell) = -32.56

abc: 8.1021 8.1021 8.2309
angles: 90.00 90.00 120.00
Fractional coordinates of all 12 atoms:
Cl1 0.8343 0.1657 0.7165
Cl2 0.8343 0.6686 0.7165
Cl3 0.1657 0.8343 0.2835
Cl4 0.1657 0.3314 0.2835
Cl5 0.3314 0.1657 0.7165
Cl6 0.6686 0.8343 0.2835
Ag1 0.6667 0.3333 0.8190
Ag2 0.3333 0.6667 0.1810
Rb1 0.6667 0.3333 0.3915
Rb2 0.0000 0.0000 0.0000
Rb3 0.3333 0.6667 0.6085
Hg1 0.0000 0.0000 0.5000